Record 1
CaPtBr2: optimized geometry, PBE-GGA.

Values from the calculation:
**Uncorrected formation energy**: -0.675 eV/atom
**Fermi-level density of states**: 0.7 states/eV per cell
**Symmetry**: Immm (71)
**Polymorph energy (0 for the lowest one)**: 0.414 eV/atom

Unit cell a=5.2494 b=5.2494 c=5.2494 alpha=131.31 beta=115.34 gamma=84.95
Closest atoms and distances in Å follow each position.
Atoms (fractional coordinates):
Pt (0.2500, 0.7500, 0.5000)  4 Br 2.74
Ca (0.7500, 0.2500, 0.5000)  8 Br 3.08-3.27
Br (0.0334, 0.0334, 0.0000)  2 Pt 2.74
Br (0.4666, 0.4666, 0.0000)  2 Pt 2.74

=====

Record 2
CaPtBr2: optimized geometry, PBE-GGA.

Values from the calculation:
**Uncorrected formation energy**: -0.678 eV/atom
**Fermi-level density of states**: 1.5 states/eV per cell
**Symmetry**: Pmmm (47)
**Polymorph energy (0 for the lowest one)**: 0.411 eV/atom

Unit cell a=3.9253 b=5.7941 c=4.1261 alpha=90.00 beta=90.00 gamma=90.00
Closest atoms and distances in Å follow each position.
Atoms (fractional coordinates):
Br (0.0000, 0.0000, 0.0000)  4 Ca 2.85
Pt (0.0000, 0.5000, 0.5000)  4 Br 2.85
Br (0.5000, 0.5000, 0.0000)  4 Pt 2.85
Ca (0.5000, 0.0000, 0.5000)  4 Br 2.85

=====

Record 3
CaPtBr2: optimized geometry, PBE-GGA.

Values from the calculation:
**Uncorrected formation energy**: -0.804 eV/atom
**Symmetry**: P4mm (99)
**Polymorph energy (0 for the lowest one)**: 0.285 eV/atom

Unit cell a=3.9451 b=3.9451 c=6.6644 alpha=90.00 beta=90.00 gamma=90.00
Closest atoms and distances in Å follow each position.
Atoms (fractional coordinates):
Br (0.0000, 0.0000, 0.9387)  1 Ca 2.78
Pt (0.5000, 0.5000, 0.7029)  1 Br 2.44
Ca (0.0000, 0.0000, 0.5209)  5 Br 2.78-3.05, 4 Pt 3.04
Br (0.5000, 0.5000, 0.3375)  1 Pt 2.44

=====

Record 4
CaPtBr2: optimized geometry, PBE-GGA.

Values from the calculation:
**Uncorrected formation energy**: -0.451 eV/atom
**Fermi-level density of states**: 1.5 states/eV per cell
**Symmetry**: Cmmm (65)
**Polymorph energy (0 for the lowest one)**: 0.637 eV/atom

Unit cell a=4.0012 b=4.0012 c=6.8673 alpha=90.00 beta=90.00 gamma=111.89
Closest atoms and distances in Å follow each position.
Atoms (fractional coordinates):
Br (0.0000, 0.0000, 0.9886)  2 Pt 2.78, 2 Ca 2.87
Br (0.0000, 0.0000, 0.5114)  2 Pt 2.78, 2 Ca 2.87
Ca (0.5000, 0.5000, 0.2500)  4 Br 2.87
Pt (0.5000, 0.5000, 0.7500)  4 Br 2.78

=====

Question: What is the polymorph energy (0 for the lowest one) in the fourth record?
Answer: 0.637 eV/atom